{
  "formula": "Dy2InGa",
  "functional": "PBE",
  "state": "relaxed",
  "cell": [[7.346, 0.000, 0.000], [0.000, 7.346, 0.000], [0.000, 0.000, 7.346]],
  "species": ["Dy", "Dy", "Dy", "Dy", "Dy", "Dy", "Dy", "Dy", "In", "In", "In", "In", "Ga", "Ga", "Ga", "Ga"],
  "frac_coords": [[0.250, 0.250, 0.250], [0.250, 0.250, 0.750], [0.250, 0.750, 0.250], [0.250, 0.750, 0.750], [0.750, 0.250, 0.250], [0.750, 0.250, 0.750], [0.750, 0.750, 0.250], [0.750, 0.750, 0.750], [0.000, 0.000, 0.000], [0.000, 0.500, 0.500], [0.500, 0.000, 0.500], [0.500, 0.500, 0.000], [0.000, 0.000, 0.500], [0.000, 0.500, 0.000], [0.500, 0.000, 0.000], [0.500, 0.500, 0.500]],
  "volume_a3_per_cell": 396.4,
  "dft_energy_ev_per_atom": -4.243,
  "e_form_ev_per_fu": -2.00,
  "mass_density_g_cm3": 8.538,
  "space_group": "Fm-3m, No. 225"
}